Compound: MgRuRh
Source: Alexandria
Functional: GGA-PBE
Structure: optimized geometry

Geometry as extended XYZ:
```
6
Lattice="13.165 0.000 0.000 0.000 1.401 2.426 0.000 -1.401 2.426" Properties=species:S:1:pos:R:3 pbc="T T T"
Mg 2.237 0.000 0.000
Mg 10.928 0.000 0.000
Ru 0.000 0.000 3.238
Ru 6.582 0.000 4.848
Rh 4.450 0.000 3.231
Rh 8.715 0.000 3.231
```

Computed properties:
Uncorrected energy in eV per atom: -6.0844
E above lowest polymorph in meV per atom: 82.9
Total magnetic moment in μB/f.u.: 0.00